Entry from the Alexandria database: a relaxed structure of LaPuTe6 (PBE-GGA).

Unit cell a=4.4033 b=4.4039 c=13.6934 alpha=90.00 beta=99.25 gamma=90.00
Last column: nearest neighbours and their distance in Å.
Fractional coordinates of all 8 atoms:
1 Te 0.5763 0.5000 0.1525  4 Te 3.11, 2 La 3.40
2 Te 0.4198 0.0000 0.8396  4 Te 3.11, 2 Pu 3.30
3 Te 0.9199 0.5000 0.8398  4 Te 3.11, 2 Pu 3.30
4 Te 0.0762 0.0000 0.1524  4 Te 3.11, 2 La 3.41
5 Te 0.7085 0.0000 0.4170  1 Pu 3.26, 4 La 3.26
6 Te 0.2980 0.5000 0.5959  4 Pu 3.23, 1 La 3.40
7 La 0.1723 0.5000 0.3446  9 Te 3.26-3.41
8 Pu 0.8291 0.0000 0.6581  9 Te 3.23-3.30

Computed properties:
**Raw formation energy**: -0.893 eV per atom

---

Entry from the Alexandria database: a relaxed structure of La3Pu2ThTe6 (PBE-GGA).

Unit cell a=4.4924 b=9.0650 c=10.0979 alpha=103.20 beta=102.85 gamma=90.00
Last column: nearest neighbours and their distance in Å.
Fractional coordinates of all 12 atoms:
1 Te 0.3337 0.9088 0.6675  2 Pu 3.14, 1 Th 3.18, 3 La 3.22-3.24
2 Te 0.0029 0.2488 0.0059  1 Pu 3.13, 2 Th 3.17, 3 La 3.21-3.22
3 Te 0.9971 0.7512 0.9941  1 Pu 3.13, 2 Th 3.17, 3 La 3.21-3.22
4 Te 0.3307 0.4224 0.6613  3 Pu 3.14-3.15, 3 La 3.24
5 Te 0.6693 0.5776 0.3387  3 Pu 3.14-3.15, 3 La 3.24
6 Te 0.6663 0.0912 0.3325  2 Pu 3.14, 1 Th 3.18, 3 La 3.22-3.24
7 Pu 0.8334 0.6666 0.6669  6 Te 3.13-3.15
8 Pu 0.1666 0.3334 0.3331  6 Te 3.13-3.15
9 La 0.5000 0.5000 0.0000  6 Te 3.21-3.24
10 La 0.8345 0.1662 0.6690  6 Te 3.22-3.24
11 La 0.1655 0.8338 0.3310  6 Te 3.22-3.24
12 Th 0.5000 0.0000 0.0000  6 Te 3.17-3.18

Computed properties:
**Raw formation energy**: -1.333 eV per atom

---

Entry from the Alexandria database: a relaxed structure of La2PuTl3Te6 (PBE-GGA).

Unit cell a=8.0141 b=8.0141 c=8.5369 alpha=99.01 beta=99.01 gamma=120.00
Last column: nearest neighbours and their distance in Å.
Fractional coordinates of all 12 atoms:
1 Tl 0.8320 0.1680 0.5000  6 Te 3.49-3.54
2 Tl 0.5000 0.5000 0.5000  6 Te 3.49-3.55
3 Tl 0.1680 0.8320 0.5000  6 Te 3.49-3.54
4 Te 0.3991 0.0728 0.2189  1 Pu 3.16, 2 La 3.23, 2 Tl 3.49
5 Te 0.2522 0.2522 0.7790  1 Pu 3.17, 2 La 3.24, 3 Tl 3.49-3.55
6 Te 0.9272 0.6009 0.7811  1 Pu 3.16, 2 La 3.23, 2 Tl 3.49
7 Te 0.6009 0.9272 0.7811  1 Pu 3.16, 2 La 3.23, 2 Tl 3.49
8 Te 0.0728 0.3991 0.2189  1 Pu 3.16, 2 La 3.23, 2 Tl 3.49
9 Te 0.7478 0.7478 0.2210  1 Pu 3.17, 2 La 3.24, 3 Tl 3.49-3.55
10 Pu 0.0000 0.0000 0.0000  6 Te 3.16-3.17
11 La 0.3335 0.6665 0.0000  6 Te 3.23-3.24
12 La 0.6665 0.3335 0.0000  6 Te 3.23-3.24

Computed properties:
**Raw formation energy**: -1.018 eV per atom

---

Entry from the Alexandria database: a relaxed structure of LaTmPu2Te5 (PBE-GGA).

Unit cell a=5.4759 b=5.4759 c=11.8421 alpha=90.00 beta=90.00 gamma=90.00
Last column: nearest neighbours and their distance in Å.
Fractional coordinates of all 9 atoms:
1 Pu 0.5000 0.5000 0.6738  4 Te 3.43
2 Pu 0.5000 0.5000 0.3262  4 Te 3.43
3 Tm 0.0000 0.0000 0.5000  6 Te 2.74-2.95
4 Te 0.0000 0.0000 0.7488  1 Tm 2.95, 1 La 2.97
5 Te 0.0000 0.0000 0.2512  1 Tm 2.95, 1 La 2.97
6 Te 0.5000 0.0000 0.5000  2 Tm 2.74
7 Te 0.5000 0.5000 0.0000  2 Pu 3.86, 4 La 3.87
8 Te 0.0000 0.5000 0.5000  2 Tm 2.74
9 La 0.0000 0.0000 0.0000  2 Te 2.97

Computed properties:
**Raw formation energy**: -0.793 eV per atom

---

Entry from the Alexandria database: a relaxed structure of La3TmPu2Te6 (PBE-GGA).

Unit cell a=7.7350 b=7.7350 c=7.8264 alpha=99.50 beta=99.50 gamma=119.98
Last column: nearest neighbours and their distance in Å.
Fractional coordinates of all 12 atoms:
1 La 0.5000 0.5000 0.5000  6 Te 3.22-3.26
2 La 0.8298 0.1702 0.5000  6 Te 3.22-3.24
3 La 0.1702 0.8298 0.5000  6 Te 3.22-3.24
4 Pu 0.3341 0.6659 0.0000  6 Te 3.13-3.14
5 Pu 0.6659 0.3341 0.0000  6 Te 3.13-3.14
6 Te 0.9223 0.5947 0.7657  1 Tm 3.07, 2 Pu 3.13, 3 La 3.22-3.24
7 Te 0.0777 0.4053 0.2343  1 Tm 3.07, 2 Pu 3.13, 3 La 3.22-3.24
8 Te 0.4053 0.0777 0.2343  1 Tm 3.07, 2 Pu 3.13, 3 La 3.22-3.24
9 Te 0.2472 0.2472 0.7610  1 Tm 3.09, 2 Pu 3.14, 3 La 3.23-3.26
10 Te 0.5947 0.9223 0.7657  1 Tm 3.07, 2 Pu 3.13, 3 La 3.22-3.24
11 Te 0.7528 0.7528 0.2390  1 Tm 3.09, 2 Pu 3.14, 3 La 3.23-3.26
12 Tm 0.0000 0.0000 0.0000  6 Te 3.07-3.09

Computed properties:
**Raw formation energy**: -1.365 eV per atom

---

Entry from the Alexandria database: a relaxed structure of La2Tm3PuTe6 (PBE-GGA).

Unit cell a=4.3715 b=8.9271 c=9.9232 alpha=104.19 beta=102.72 gamma=90.00
Last column: nearest neighbours and their distance in Å.
Fractional coordinates of all 12 atoms:
1 Te 0.3380 0.4038 0.6760  3 Tm 3.04, 3 La 3.22-3.23
2 Te 0.0057 0.7459 0.0114  3 Tm 3.05-3.08, 2 Pu 3.17, 1 La 3.22
3 Te 0.6620 0.5962 0.3240  3 Tm 3.04, 3 La 3.22-3.23
4 Te 0.3319 0.9294 0.6637  3 Tm 3.03-3.06, 1 Pu 3.16, 2 La 3.21
5 Te 0.9943 0.2541 0.9886  3 Tm 3.05-3.08, 2 Pu 3.17, 1 La 3.22
6 Te 0.6681 0.0706 0.3363  3 Tm 3.03-3.06, 1 Pu 3.16, 2 La 3.21
7 Tm 0.1687 0.8358 0.3374  6 Te 3.03-3.06
8 Tm 0.8313 0.1642 0.6626  6 Te 3.03-3.06
9 Tm 0.5000 0.5000 0.0000  6 Te 3.04-3.08
10 Pu 0.5000 0.0000 0.0000  6 Te 3.16-3.17
11 La 0.1660 0.3333 0.3320  6 Te 3.21-3.23
12 La 0.8340 0.6667 0.6680  6 Te 3.21-3.23

Computed properties:
**Raw formation energy**: -1.318 eV per atom

---

What are the mass density values for these records? In order: 7.277 8.105 6.999 6.705 7.976 8.149 g cm⁻³.
What are the Fermi-level density of states values for these records? In order: 1.5254 2.1167 1.2072 3.6382 2.0440 1.1390 states/eV/atom.